## CrGeWO6 (GGA+U)

Data for a relaxed CrGeWO6 crystal.

Results
Space-group type ... P4_2nm (102)
DFT total energy ... -7.350 eV/atom
Calculated density ... 6.96 g/cm3

Lattice parameters (Å, degrees): 4.5767 4.5767 9.2193 90.00 90.00 90.00
Sites, in units of the cell vectors:
1 Cr 0.0000 0.0000 0.0000
2 Cr 0.5000 0.5000 0.5000
3 Ge 0.0000 0.0000 0.3342
4 Ge 0.5000 0.5000 0.8342
5 W 0.0000 0.0000 0.6664
6 W 0.5000 0.5000 0.1664
7 O 0.1908 0.1908 0.4948
8 O 0.1937 0.1937 0.1738
9 O 0.2017 0.2017 0.8338
10 O 0.2983 0.7017 0.3338
11 O 0.3063 0.6937 0.6738
12 O 0.3092 0.6908 0.9948
13 O 0.6908 0.3092 0.9948
14 O 0.6937 0.3063 0.6738
15 O 0.7017 0.2983 0.3338
16 O 0.7983 0.7983 0.8338
17 O 0.8063 0.8063 0.1738
18 O 0.8092 0.8092 0.4948